LiMn2SnF8 | PBE with a Hubbard U | relaxed Values from VASP.

D(E_F) in states/eV/f.u.: 2.98
Uncorrected energy in eV per formula unit: -66.65

Structure (Quantum ESPRESSO input):
```
&SYSTEM
  ibrav = 0, nat = 12, ntyp = 4
/
ATOMIC_SPECIES
Li 6.94 Li.upf
Mn 54.94 Mn.upf
Sn 118.71 Sn.upf
F 19.00 F.upf
CELL_PARAMETERS angstrom
4.981 0.000 0.000
0.000 6.672 0.000
-0.038 0.000 4.994
ATOMIC_POSITIONS angstrom
Li 0.000 0.000 0.000
Mn 2.471 1.556 2.497
Mn 2.471 5.116 2.497
Sn 0.000 3.336 0.000
F 0.960 1.677 4.010
F 0.960 4.994 4.010
F 1.471 0.000 1.496
F 1.538 3.336 1.565
F 3.405 3.336 3.429
F 3.472 0.000 3.498
F 3.982 1.677 0.984
F 3.982 4.994 0.984
```